Entry from the Alexandria database: a relaxed structure of NiSb8Pt2 (PBE).

Output
**Electronic total energy**: -4.78 eV/atom
**Symmetry**: No. 2
**Energy relative to the elements, uncorrected**: -15 kJ per mole of atoms

POSCAR file:
```
NiSb8Pt2
1.0
5.680 0.000 0.000
-0.367 7.064 0.000
-0.180 -1.958 6.858
Ni Sb Pt
1 8 2
direct
0.000 0.000 0.000
0.249 0.345 0.591
0.249 0.956 0.282
0.271 0.333 0.067
0.311 0.836 0.775
0.689 0.164 0.225
0.729 0.667 0.933
0.751 0.044 0.718
0.751 0.655 0.409
0.238 0.625 0.396
0.762 0.375 0.604
```